CaAcAgSn | PBE-GGA | relaxed

Cell lengths 7.8552, 7.8552, 7.8552 Å; angles 90.00, 90.00, 90.00 degrees
Closest atoms and distances in Å follow each position.
Fractional positions:
Ca 0.0000 0.0000 0.0000  4 Sn 3.40, 4 Ag 3.40
Ca 0.0000 0.5000 0.5000  4 Sn 3.40, 4 Ag 3.40
Ca 0.5000 0.0000 0.5000  4 Sn 3.40, 4 Ag 3.40
Ca 0.5000 0.5000 0.0000  4 Sn 3.40, 4 Ag 3.40
Ac 0.0000 0.0000 0.5000  4 Sn 3.40, 4 Ag 3.40
Ac 0.0000 0.5000 0.0000  4 Sn 3.40, 4 Ag 3.40
Ac 0.5000 0.0000 0.0000  4 Sn 3.40, 4 Ag 3.40
Ac 0.5000 0.5000 0.5000  4 Sn 3.40, 4 Ag 3.40
Ag 0.2500 0.2500 0.2500  4 Ac 3.40, 4 Ca 3.40
Ag 0.2500 0.7500 0.7500  4 Ac 3.40, 4 Ca 3.40
Ag 0.7500 0.2500 0.7500  4 Ac 3.40, 4 Ca 3.40
Ag 0.7500 0.7500 0.2500  4 Ac 3.40, 4 Ca 3.40
Sn 0.2500 0.2500 0.7500  4 Ac 3.40, 4 Ca 3.40
Sn 0.2500 0.7500 0.2500  4 Ac 3.40, 4 Ca 3.40
Sn 0.7500 0.2500 0.2500  4 Ac 3.40, 4 Ca 3.40
Sn 0.7500 0.7500 0.7500  4 Ca 3.40, 4 Ac 3.40

Summary:
As for the formation energy from the elements: -537 meV/atom.